# 1
ScUGa4: relaxed, PBE.

Results
VASP energy	-31.10	eV/f.u.
relative energy among the computed polymorphs	118	meV per atom

a = 5.4333 Å, b = 5.4333 Å, c = 5.4333 Å
α = 60.00°, β = 60.00°, γ = 60.00°
Atoms (fractional coordinates):
Sc 0.0000 0.0000 0.0000
U 0.2500 0.2500 0.2500
Ga 0.1249 0.6250 0.6250
Ga 0.6250 0.1249 0.6250
Ga 0.6250 0.6250 0.1249
Ga 0.6250 0.6250 0.6250

# 2
LiGa6W: relaxed, PBE.

Results
VASP energy	-31.89	eV/f.u.

a = 4.9107 Å, b = 4.9107 Å, c = 7.5280 Å
α = 111.18°, β = 111.18°, γ = 66.67°
Atoms (fractional coordinates):
Li 0.0000 0.0000 0.0000
Ga 0.0828 0.5713 0.1885
Ga 0.3414 0.3414 0.5369
Ga 0.4287 0.9172 0.8115
Ga 0.5713 0.0828 0.1885
Ga 0.6586 0.6586 0.4631
Ga 0.9172 0.4287 0.8115
W 0.0000 0.0000 0.5000

# 3
CsNaIn2Pd: relaxed, PBE.

Results
VASP energy	-13.81	eV/f.u.

a = 5.2763 Å, b = 5.2763 Å, c = 5.9257 Å
α = 90.00°, β = 90.00°, γ = 90.00°
Atoms (fractional coordinates):
Cs 0.0000 0.0000 0.0000
Na 0.5000 0.5000 0.0000
In 0.0000 0.5000 0.5000
In 0.5000 0.0000 0.5000
Pd 0.5000 0.5000 0.5000

For the records above, the corresponding calculated formation energy values read -1.37, 1.14, -0.97 eV/f.u..